1.
Here is crystalline CaNi2Br at its relaxed geometry from the Alexandria database. Energies are from PBE.

DOS(E_F) = 12.805 states/eV per cell
total magnetic moment = 3.07 μB per cell
total DFT energy (no corrections) = -4.071 eV per atom
excess energy over the best structure of this formula in the dataset = 0 kJ/mol of formula units

a = 3.9179 Å, b = 3.9179 Å, c = 21.0816 Å
α = 90.00°, β = 90.00°, γ = 120.00°
Space group R3m (No. 160, hexagonal axes)
Symmetry-distinct sites (fractional):
1 Ca 0.0000 0.0000 0.0000 [3 per cell]
2 Ni 0.0000 0.0000 0.4324 [3 per cell]
3 Ni 0.0000 0.0000 0.7645 [3 per cell]
4 Br 0.0000 0.0000 0.2480 [3 per cell]


2.
Here is crystalline TlInSbPb at its relaxed geometry from the Alexandria database. Energies are from PBE.

DOS(E_F) = 16.232 states/eV per cell
total magnetic moment = 0.00 μB per cell
total DFT energy (no corrections) = -3.172 eV per atom
excess energy over the best structure of this formula in the dataset = 9 kJ/mol of formula units

a = 7.8452 Å, b = 7.8452 Å, c = 7.8452 Å
α = 90.00°, β = 90.00°, γ = 90.00°
Space group F-43m (No. 216)
Symmetry-distinct sites (fractional):
1 Tl 0.0000 0.0000 0.0000 [4 per cell]
2 In 0.2500 0.2500 0.2500 [4 per cell]
3 Sb 0.0000 0.0000 0.5000 [4 per cell]
4 Pb 0.2500 0.2500 0.7500 [4 per cell]


3.
Here is crystalline TlWBr2 at its relaxed geometry from the Alexandria database. Energies are from PBE.

DOS(E_F) = 5.993 states/eV per cell
total magnetic moment = 3.87 μB per cell
total DFT energy (no corrections) = -4.119 eV per atom
excess energy over the best structure of this formula in the dataset = 115 kJ/mol of formula units

a = 3.1877 Å, b = 4.6857 Å, c = 15.4389 Å
α = 90.00°, β = 90.00°, γ = 90.00°
Space group Imm2 (No. 44)
Symmetry-distinct sites (fractional):
1 Tl 0.0000 0.0000 0.0000 [2 per cell]
2 W 0.0000 0.5000 0.3196 [2 per cell]
3 Br 0.0000 0.0000 0.6876 [2 per cell]
4 Br 0.0000 0.5000 0.8495 [2 per cell]


4.
Here is crystalline Rb3SrZn2F9 at its relaxed geometry from the Alexandria database. Energies are from PBE.

DOS(E_F) = 0.000 states/eV per cell
total magnetic moment = 0.00 μB per cell
total DFT energy (no corrections) = -4.425 eV per atom

a = 6.1496 Å, b = 6.1496 Å, c = 7.6756 Å
α = 90.00°, β = 90.00°, γ = 120.00°
Space group P-3m1 (No. 164)
Symmetry-distinct sites (fractional):
1 Rb 0.0000 0.0000 0.0000 [1 per cell]
2 Rb 0.3333 0.6667 0.6886 [2 per cell]
3 Sr 0.0000 0.0000 0.5000 [1 per cell]
4 Zn 0.3333 0.6667 0.1547 [2 per cell]
5 F 0.0000 0.5000 0.0000 [3 per cell]
6 F 0.1773 0.3546 0.3111 [6 per cell]


5.
Here is crystalline RbAsF4 at its relaxed geometry from the Alexandria database. Energies are from PBE.

DOS(E_F) = 0.000 states/eV per cell
total magnetic moment = 0.00 μB per cell
total DFT energy (no corrections) = -4.547 eV per atom

a = 4.2611 Å, b = 15.6194 Å, c = 6.6262 Å
α = 90.00°, β = 90.00°, γ = 90.00°
Space group Cmcm (No. 63)
Symmetry-distinct sites (fractional):
1 Rb 0.0000 0.1437 0.2500 [4 per cell]
2 As 0.0000 0.4047 0.2500 [4 per cell]
3 F 0.0000 0.0992 0.7500 [4 per cell]
4 F 0.0000 0.3190 0.0490 [8 per cell]
5 F 0.0000 0.5000 0.0000 [4 per cell]


6.
Here is crystalline V2CuRhS at its relaxed geometry from the Alexandria database. Energies are from PBE.

DOS(E_F) = 6.228 states/eV per cell
total magnetic moment = 5.55 μB per cell
total DFT energy (no corrections) = -5.801 eV per atom

a = 4.7937 Å, b = 4.7937 Å, c = 4.3826 Å
α = 90.00°, β = 90.00°, γ = 90.00°
Space group P4/mmm (No. 123)
Symmetry-distinct sites (fractional):
1 V 0.0000 0.5000 0.0000 [2 per cell]
2 Cu 0.0000 0.0000 0.5000 [1 per cell]
3 Rh 0.5000 0.5000 0.0000 [1 per cell]
4 S 0.5000 0.5000 0.5000 [1 per cell]


7.
Here is crystalline HoErSe at its relaxed geometry from the Alexandria database. Energies are from PBE.

DOS(E_F) = 2.624 states/eV per cell
total magnetic moment = 0.02 μB per cell
total DFT energy (no corrections) = -5.303 eV per atom
excess energy over the best structure of this formula in the dataset = 0 kJ/mol of formula units

a = 3.8140 Å, b = 3.8140 Å, c = 6.4936 Å
α = 90.00°, β = 90.00°, γ = 120.00°
Space group P3m1 (No. 156)
Symmetry-distinct sites (fractional):
1 Ho 0.0000 0.0000 0.0000 [1 per cell]
2 Er 0.3333 0.6667 0.5629 [1 per cell]
3 Se 0.6667 0.3333 0.2827 [1 per cell]


8.
Here is crystalline Zn3CoS at its relaxed geometry from the Alexandria database. Energies are from PBE.

DOS(E_F) = 6.682 states/eV per cell
total magnetic moment = 1.06 μB per cell
total DFT energy (no corrections) = -2.416 eV per atom
excess energy over the best structure of this formula in the dataset = 0 kJ/mol of formula units

a = 4.5753 Å, b = 4.5753 Å, c = 4.5753 Å
α = 90.00°, β = 90.00°, γ = 90.00°
Space group Pm-3m (No. 221)
Symmetry-distinct sites (fractional):
1 Zn 0.0000 0.0000 0.5000 [3 per cell]
2 Co 0.0000 0.0000 0.0000 [1 per cell]
3 S 0.5000 0.5000 0.5000 [1 per cell]


Copy entry 4 word for word.
Here is crystalline Rb3SrZn2F9 at its relaxed geometry from the Alexandria database. Energies are from PBE.

DOS(E_F) = 0.000 states/eV per cell
total magnetic moment = 0.00 μB per cell
total DFT energy (no corrections) = -4.425 eV per atom

a = 6.1496 Å, b = 6.1496 Å, c = 7.6756 Å
α = 90.00°, β = 90.00°, γ = 120.00°
Space group P-3m1 (No. 164)
Symmetry-distinct sites (fractional):
1 Rb 0.0000 0.0000 0.0000 [1 per cell]
2 Rb 0.3333 0.6667 0.6886 [2 per cell]
3 Sr 0.0000 0.0000 0.5000 [1 per cell]
4 Zn 0.3333 0.6667 0.1547 [2 per cell]
5 F 0.0000 0.5000 0.0000 [3 per cell]
6 F 0.1773 0.3546 0.3111 [6 per cell]


The highest DOS(E_F) belongs to which entry?
TlInSbPb